Record 1
{
  "formula": "PrGdErMg",
  "functional": "PBE",
  "state": "optimized geometry",
  "formation_enthalpy_0k_ev_per_atom": 0.02,
  "m_tot_mub_per_cell": 29.80,
  "volume_a3_per_fu": 122,
  "cell": [[7.878, 0.000, 0.000], [0.000, 7.878, 0.000], [0.000, 0.000, 7.878]],
  "species": ["Pr", "Pr", "Pr", "Pr", "Gd", "Gd", "Gd", "Gd", "Er", "Er", "Er", "Er", "Mg", "Mg", "Mg", "Mg"],
  "frac_coords": [[0.000, 0.000, 0.000], [0.000, 0.500, 0.500], [0.500, 0.000, 0.500], [0.500, 0.500, 0.000], [0.000, 0.000, 0.500], [0.000, 0.500, 0.000], [0.500, 0.000, 0.000], [0.500, 0.500, 0.500], [0.250, 0.250, 0.250], [0.250, 0.750, 0.750], [0.750, 0.250, 0.750], [0.750, 0.750, 0.250], [0.250, 0.250, 0.750], [0.250, 0.750, 0.250], [0.750, 0.250, 0.250], [0.750, 0.750, 0.750]]
}

=====

Record 2
{
  "formula": "Nd6Cd5Ag",
  "functional": "PBE",
  "state": "optimized geometry",
  "formation_enthalpy_0k_ev_per_atom": -0.31,
  "m_tot_mub_per_cell": 2.01,
  "volume_a3_per_fu": 340,
  "cell": [[2.707, -8.130, 0.000], [2.707, 8.130, 0.000], [0.000, 0.000, 7.719]],
  "species": ["Nd", "Nd", "Nd", "Nd", "Nd", "Nd", "Cd", "Cd", "Cd", "Cd", "Cd", "Ag"],
  "frac_coords": [[0.000, 0.000, 0.246], [0.000, 0.000, 0.754], [0.336, 0.664, 0.249], [0.336, 0.664, 0.751], [0.664, 0.336, 0.249], [0.664, 0.336, 0.751], [0.168, 0.832, 0.500], [0.171, 0.829, 0.000], [0.500, 0.500, 0.500], [0.829, 0.171, 0.000], [0.832, 0.168, 0.500], [0.500, 0.500, 0.000]]
}

=====

Record 3
{
  "formula": "La2AlInTc",
  "functional": "PBE",
  "state": "optimized geometry",
  "formation_enthalpy_0k_ev_per_atom": 0.36,
  "m_tot_mub_per_cell": 0.00,
  "volume_a3_per_fu": 152,
  "cell": [[5.770, 0.000, 0.000], [0.000, 5.770, 0.000], [0.000, 0.000, 4.552]],
  "species": ["La", "La", "Al", "In", "Tc"],
  "frac_coords": [[0.000, 0.500, 0.000], [0.500, 0.000, 0.000], [0.000, 0.000, 0.000], [0.500, 0.500, 0.500], [0.000, 0.000, 0.500]]
}

=====

Record 4
{
  "formula": "H2Pd",
  "functional": "PBE",
  "state": "optimized geometry",
  "total_energy_ev_per_atom": -3.67,
  "m_tot_mub_per_cell": 0.00,
  "volume_a3_per_fu": 21,
  "cell": [[2.886, 0.000, 0.000], [0.000, 2.886, 0.000], [0.000, 0.000, 5.150]],
  "species": ["H", "H", "H", "H", "Pd", "Pd"],
  "frac_coords": [[0.000, 0.000, 0.157], [0.000, 0.000, 0.843], [0.500, 0.500, 0.343], [0.500, 0.500, 0.657], [0.000, 0.000, 0.500], [0.500, 0.500, 0.000]]
}

=====

Record 5
{
  "formula": "RbAgCN2",
  "functional": "PBE",
  "state": "optimized geometry",
  "m_tot_mub_per_cell": 5.02,
  "e_form_raw_mev_per_atom": 2370,
  "volume_a3_per_fu": 88,
  "cell": [[4.483, 0.000, 0.000], [0.000, 4.483, 0.000], [0.000, 0.000, 4.361]],
  "species": ["Rb", "Ag", "C", "N", "N"],
  "frac_coords": [[0.000, 0.000, 0.000], [0.500, 0.500, 0.500], [0.500, 0.500, 0.000], [0.000, 0.500, 0.500], [0.500, 0.000, 0.500]]
}

=====

Record 6
{
  "formula": "PuThHgRu",
  "functional": "PBE",
  "state": "optimized geometry",
  "formation_enthalpy_0k_ev_per_atom": -0.08,
  "m_tot_mub_per_cell": 21.32,
  "volume_a3_per_fu": 96,
  "cell": [[7.263, 0.000, 0.000], [0.000, 7.263, 0.000], [0.000, 0.000, 7.263]],
  "species": ["Pu", "Pu", "Pu", "Pu", "Th", "Th", "Th", "Th", "Hg", "Hg", "Hg", "Hg", "Ru", "Ru", "Ru", "Ru"],
  "frac_coords": [[0.000, 0.000, 0.000], [0.000, 0.500, 0.500], [0.500, 0.000, 0.500], [0.500, 0.500, 0.000], [0.000, 0.000, 0.500], [0.000, 0.500, 0.000], [0.500, 0.000, 0.000], [0.500, 0.500, 0.500], [0.250, 0.250, 0.250], [0.250, 0.750, 0.750], [0.750, 0.250, 0.750], [0.750, 0.750, 0.250], [0.250, 0.250, 0.750], [0.250, 0.750, 0.250], [0.750, 0.250, 0.250], [0.750, 0.750, 0.750]]
}

=====

Record 7
{
  "formula": "LaSIN2",
  "functional": "PBE",
  "state": "optimized geometry",
  "e_above_lowest_polymorph_ev_per_atom": 0.447,
  "m_tot_mub_per_cell": 0.78,
  "e_form_raw_mev_per_atom": 991,
  "volume_a3_per_fu": 95,
  "cell": [[4.346, 0.000, 0.000], [0.000, 4.346, 0.000], [0.000, 0.000, 5.009]],
  "species": ["La", "S", "I", "N", "N"],
  "frac_coords": [[0.000, 0.000, 0.000], [0.500, 0.500, 0.500], [0.500, 0.500, 0.000], [0.000, 0.500, 0.500], [0.500, 0.000, 0.500]]
}

=====

Record 8
{
  "formula": "Mg2CuSb",
  "functional": "PBE",
  "state": "optimized geometry",
  "m_tot_mub_per_cell": 0.00,
  "e_form_raw_mev_per_atom": 114,
  "volume_a3_per_fu": 87,
  "cell": [[4.240, 0.000, 0.000], [0.000, 4.240, 0.000], [0.000, 0.000, 19.307]],
  "species": ["Mg", "Mg", "Mg", "Mg", "Mg", "Mg", "Mg", "Mg", "Cu", "Cu", "Cu", "Cu", "Sb", "Sb", "Sb", "Sb"],
  "frac_coords": [[0.228, 0.250, 0.125], [0.250, 0.728, 0.375], [0.250, 0.772, 0.875], [0.272, 0.250, 0.625], [0.728, 0.750, 0.625], [0.750, 0.228, 0.875], [0.750, 0.272, 0.375], [0.772, 0.750, 0.125], [0.000, 0.000, 0.000], [0.000, 0.500, 0.250], [0.500, 0.000, 0.750], [0.500, 0.500, 0.500], [0.000, 0.000, 0.500], [0.000, 0.500, 0.750], [0.500, 0.000, 0.250], [0.500, 0.500, 0.000]]
}

=====

Record 9
{
  "formula": "Sr2LaAl",
  "functional": "PBE",
  "state": "optimized geometry",
  "formation_enthalpy_0k_ev_per_atom": 0.04,
  "m_tot_mub_per_cell": 1.33,
  "volume_a3_per_fu": 152,
  "cell": [[4.047, 0.000, 0.000], [0.000, 5.770, 0.000], [0.000, 0.000, 12.987]],
  "species": ["Sr", "Sr", "Sr", "Sr", "La", "La", "Al", "Al"],
  "frac_coords": [[0.000, 0.000, 0.202], [0.000, 0.000, 0.798], [0.500, 0.500, 0.298], [0.500, 0.500, 0.702], [0.000, 0.500, 0.000], [0.500, 0.000, 0.500], [0.000, 0.500, 0.500], [0.500, 0.000, 0.000]]
}

=====

Record 10
{
  "formula": "Pr2SmDy5Th",
  "functional": "PBE",
  "state": "optimized geometry",
  "formation_enthalpy_0k_ev_per_atom": 0.17,
  "m_tot_mub_per_cell": 0.00,
  "volume_a3_per_fu": 307,
  "cell": [[2.828, -10.028, 0.000], [2.828, 10.028, 0.000], [0.000, 0.000, 10.808]],
  "species": ["Pr", "Pr", "Pr", "Pr", "Sm", "Sm", "Dy", "Dy", "Dy", "Dy", "Dy", "Dy", "Dy", "Dy", "Dy", "Dy", "Th", "Th"],
  "frac_coords": [[0.115, 0.885, 0.500], [0.116, 0.884, 0.089], [0.884, 0.116, 0.589], [0.885, 0.115, 0.000], [0.202, 0.798, 0.776], [0.798, 0.202, 0.276], [0.016, 0.984, 0.795], [0.282, 0.718, 0.079], [0.300, 0.700, 0.475], [0.394, 0.606, 0.791], [0.478, 0.522, 0.505], [0.522, 0.478, 0.005], [0.606, 0.394, 0.291], [0.700, 0.300, 0.975], [0.718, 0.282, 0.579], [0.984, 0.016, 0.295], [0.418, 0.582, 0.223], [0.582, 0.418, 0.723]]
}

=====

Record 11
{
  "formula": "CaTiTl2Pt",
  "functional": "PBE",
  "state": "optimized geometry",
  "formation_enthalpy_0k_ev_per_atom": 0.14,
  "m_tot_mub_per_cell": 1.85,
  "volume_a3_per_fu": 142,
  "cell": [[5.316, 0.000, 0.000], [0.000, 5.316, 0.000], [0.000, 0.000, 5.036]],
  "species": ["Ca", "Ti", "Tl", "Tl", "Pt"],
  "frac_coords": [[0.000, 0.000, 0.000], [0.500, 0.500, 0.000], [0.000, 0.500, 0.500], [0.500, 0.000, 0.500], [0.500, 0.500, 0.500]]
}

=====

Record 12
{
  "formula": "Pm2MgPPt6",
  "functional": "PBE",
  "state": "optimized geometry",
  "formation_enthalpy_0k_ev_per_atom": -0.87,
  "m_tot_mub_per_cell": 0.00,
  "volume_a3_per_fu": 201,
  "cell": [[5.607, 0.000, 0.000], [0.000, 8.686, 0.000], [0.000, 0.000, 8.274]],
  "species": ["Pm", "Pm", "Pm", "Pm", "Mg", "Mg", "P", "P", "Pt", "Pt", "Pt", "Pt", "Pt", "Pt", "Pt", "Pt", "Pt", "Pt", "Pt", "Pt"],
  "frac_coords": [[0.250, 0.013, 0.230], [0.250, 0.487, 0.230], [0.750, 0.513, 0.770], [0.750, 0.987, 0.770], [0.250, 0.750, 0.792], [0.750, 0.250, 0.208], [0.250, 0.250, 0.724], [0.750, 0.750, 0.276], [0.001, 0.750, 0.053], [0.004, 0.750, 0.516], [0.250, 0.003, 0.611], [0.250, 0.497, 0.611], [0.496, 0.750, 0.516], [0.499, 0.750, 0.053], [0.501, 0.250, 0.947], [0.504, 0.250, 0.484], [0.750, 0.503, 0.389], [0.750, 0.997, 0.389], [0.996, 0.250, 0.484], [0.999, 0.250, 0.947]]
}

=====

Record 13
{
  "formula": "RbCuN2F",
  "functional": "PBE",
  "state": "optimized geometry",
  "e_above_lowest_polymorph_ev_per_atom": 1.419,
  "m_tot_mub_per_cell": 5.01,
  "e_form_raw_mev_per_atom": 1775,
  "volume_a3_per_fu": 153,
  "cell": [[5.550, 0.000, 0.000], [0.000, 5.550, 0.000], [0.000, 0.000, 4.968]],
  "species": ["Rb", "Cu", "N", "N", "F"],
  "frac_coords": [[0.000, 0.000, 0.000], [0.500, 0.500, 0.500], [0.000, 0.500, 0.000], [0.500, 0.000, 0.000], [0.000, 0.000, 0.500]]
}